First-principles (PBE) data for crystalline Ac2DyBi3 at its relaxed geometry, as listed in the Alexandria database.

Cell and atoms, written as POSCAR:
```
Ac2DyBi3
1.0
-5.1877 -6.3656 -0.5481
8.0688 -1.1610 -1.1317
-0.0966 1.1590 8.1425
Bi Dy Ac
6 2 4
Cartesian
2.8516 -0.6005 1.3991
-1.4244 -2.4572 1.5928
4.3517 -4.0322 4.8690
-0.0456 -5.5808 5.0572
0.5589 -1.0146 5.8071
2.0611 -5.4176 0.6628
-0.7482 -4.6226 -0.7436
7.9515 -0.0101 7.0117
5.7583 -1.4696 3.0391
-3.0266 -4.9187 3.4259
1.4449 -3.1631 3.2290
3.6499 -2.8959 -0.9372
```

Calculated values
- symmetry = C2/m
- DFT formation energy (kJ per mole of atoms) = -89.72


First-principles (PBE) data for crystalline Ac5DyBi6 at its relaxed geometry, as listed in the Alexandria database.

Cell and atoms, written as POSCAR:
```
Ac5DyBi6
1.0
0.2211 -6.7756 -4.8672
6.2999 1.5818 5.2398
-5.8075 -2.4127 5.4879
Bi Dy Ac
6 1 5
Cartesian
1.5219 -4.4348 6.0718
-2.8298 -3.0599 4.2321
-0.8083 -3.1717 -0.2113
1.1442 -0.4874 3.0350
-0.4306 -7.1191 2.8255
3.5434 -4.5466 1.6284
0.0000 0.0000 0.0000
0.3568 -3.8032 2.9303
2.2562 -3.9777 -1.4836
4.2649 -1.2161 1.8562
-1.6469 -6.5580 -0.4012
2.3605 -1.0485 6.2617
```

Calculated values
- symmetry = C2/m
- DFT formation energy (kJ per mole of atoms) = -92.73


Question: The highest DFT formation energy belongs to which entry?
Answer: Ac2DyBi3